Density functional theory data (PBE-GGA) for a geometry-optimized SrHgBr5 structure.

Values from the calculation:
E_form (uncorrected), eV per atom: -0.98

Cell lengths 7.6088, 7.6088, 9.2857 Å; angles 98.99, 98.99, 95.34 degrees
Last column: nearest neighbours and their distance in Å.
Positions (direct):
Sr1 0.0390 0.9610 0.7500  7 Br 3.11-3.19
Sr2 0.9610 0.0390 0.2500  7 Br 3.11-3.19
Hg1 0.0000 0.5000 0.0000  6 Br 2.74-3.03
Hg2 0.5000 0.0000 0.5000  6 Br 2.74-3.03
Br1 0.2024 0.2120 0.0479  1 Hg 2.84, 2 Sr 3.11-3.17
Br2 0.2120 0.2024 0.5479  1 Hg 2.84, 2 Sr 3.11-3.17
Br3 0.2447 0.7553 0.2500  2 Hg 3.03, 1 Sr 3.19, 2 Br 3.24
Br4 0.2685 0.6870 0.9011  1 Hg 2.74, 1 Br 2.95
Br5 0.3130 0.7315 0.5989  1 Hg 2.74, 1 Br 2.95
Br6 0.6870 0.2685 0.4011  1 Hg 2.74, 1 Br 2.95
Br7 0.7315 0.3130 0.0989  1 Hg 2.74, 1 Br 2.95
Br8 0.7553 0.2447 0.7500  2 Hg 3.03, 1 Sr 3.19, 2 Br 3.24
Br9 0.7880 0.7976 0.4521  1 Hg 2.84, 2 Sr 3.11-3.17
Br10 0.7976 0.7880 0.9521  1 Hg 2.84, 2 Sr 3.11-3.17

=====

Density functional theory data (PBE-GGA) for a geometry-optimized SrHg2Br structure.

Values from the calculation:
E_form (uncorrected), eV per atom: -0.82
Distance to the lowest polymorph of the same formula, meV/atom: 6

Cell lengths 4.5546, 4.5546, 5.8716 Å; angles 90.00, 90.00, 90.00 degrees
Last column: nearest neighbours and their distance in Å.
Positions (direct):
Sr1 0.0000 0.0000 0.0000  4 Br 3.22
Hg1 0.0000 0.5000 0.5000  4 Hg 3.22
Hg2 0.5000 0.0000 0.5000  4 Hg 3.22
Br1 0.5000 0.5000 0.0000  4 Sr 3.22

=====

Density functional theory data (PBE-GGA) for a geometry-optimized Sr2Hg2Br structure.

Values from the calculation:
E_form (uncorrected), eV per atom: -0.56
Distance to the lowest polymorph of the same formula, meV/atom: 259

Cell lengths 6.5744, 6.5744, 6.5744 Å; angles 123.25, 123.25, 84.47 degrees
Last column: nearest neighbours and their distance in Å.
Positions (direct):
Sr1 0.2500 0.7500 0.5000  4 Hg 3.29
Sr2 0.7500 0.2500 0.5000  4 Hg 3.29
Hg1 0.1442 0.1442 0.0000  1 Hg 2.81
Hg2 0.8558 0.8558 0.0000  1 Hg 2.81
Br1 0.5000 0.5000 0.0000  2 Hg 3.46

=====

Density functional theory data (PBE-GGA) for a geometry-optimized Sr3HgBr8 structure.

Values from the calculation:
E_form (uncorrected), eV per atom: -1.67

Cell lengths 8.5331, 8.5331, 8.5984 Å; angles 116.88, 116.88, 63.46 degrees
Last column: nearest neighbours and their distance in Å.
Positions (direct):
Sr1 0.0000 0.0000 0.0000  6 Br 3.04-3.10
Sr2 0.0000 0.5000 0.5000  6 Br 3.04-3.10
Sr3 0.5000 0.0000 0.5000  6 Br 3.04-3.10
Hg1 0.5000 0.5000 0.0000  6 Br 2.90-2.91
Br1 0.2462 0.2462 0.2578  3 Sr 3.04
Br2 0.2638 0.7364 0.2325  1 Hg 2.91, 2 Sr 3.10
Br3 0.2636 0.7362 0.7675  1 Hg 2.91, 2 Sr 3.10
Br4 0.2647 0.2647 0.7613  1 Hg 2.90, 2 Sr 3.10
Br5 0.7353 0.7353 0.2387  1 Hg 2.90, 2 Sr 3.10
Br6 0.7364 0.2638 0.2325  1 Hg 2.91, 2 Sr 3.10
Br7 0.7362 0.2636 0.7675  1 Hg 2.91, 2 Sr 3.10
Br8 0.7538 0.7538 0.7422  3 Sr 3.04

=====

Density functional theory data (PBE-GGA) for a geometry-optimized SrHgBr2 structure.

Values from the calculation:
E_form (uncorrected), eV per atom: -1.42
Distance to the lowest polymorph of the same formula, meV/atom: 127

Cell lengths 5.3885, 4.9335, 7.2632 Å; angles 90.00, 111.01, 90.00 degrees
Last column: nearest neighbours and their distance in Å.
Positions (direct):
Sr1 0.0000 0.0000 0.0000  4 Br 2.96-2.98
Hg1 0.8059 0.5000 0.6136  2 Sr 3.60, 6 Br 3.66-3.93
Br1 0.1255 0.5000 0.2461  2 Sr 2.98
Br2 0.4113 0.0000 0.8171  2 Sr 2.96-2.97

=====

Density functional theory data (PBE-GGA) for a geometry-optimized SrHgBr2 structure.

Values from the calculation:
E_form (uncorrected), eV per atom: -1.43
Distance to the lowest polymorph of the same formula, meV/atom: 119

Cell lengths 9.9489, 9.9489, 4.4497 Å; angles 102.86, 102.86, 23.64 degrees
Last column: nearest neighbours and their distance in Å.
Positions (direct):
Sr1 0.0000 0.0000 0.0000  6 Br 2.93-3.22
Hg1 0.2597 0.2597 0.7590  4 Hg 4.08-4.45, 6 Br 4.08-4.13
Br1 0.4401 0.4401 0.4404  4 Sr 3.22
Br2 0.6110 0.6110 0.1116  2 Sr 2.93

=====

Density functional theory data (PBE-GGA) for a geometry-optimized SrHgBr2 structure.

Values from the calculation:
E_form (uncorrected), eV per atom: -1.24
Distance to the lowest polymorph of the same formula, meV/atom: 308

Cell lengths 4.4582, 4.4582, 6.5250 Å; angles 90.00, 90.00, 90.00 degrees
Last column: nearest neighbours and their distance in Å.
Positions (direct):
Sr1 0.0000 0.0000 0.0000  6 Br 3.12-3.40
Hg1 0.5000 0.5000 0.6502  6 Br 3.25-3.35
Br1 0.0000 0.0000 0.4786  2 Sr 3.12-3.40, 4 Hg 3.35
Br2 0.5000 0.5000 0.1521  2 Hg 3.25-3.27, 4 Sr 3.30

=====

Density functional theory data (PBE-GGA) for a geometry-optimized SrHgBr6 structure.

Values from the calculation:
E_form (uncorrected), eV per atom: -0.83

Cell lengths 5.3548, 6.8745, 7.7397 Å; angles 96.43, 107.61, 90.64 degrees
Last column: nearest neighbours and their distance in Å.
Positions (direct):
Sr1 0.0000 0.0000 0.0000  6 Br 3.14-3.42
Hg1 0.5000 0.5000 0.5000  2 Br 2.47
Br1 0.0727 0.4462 0.2598  1 Hg 2.47
Br2 0.2398 0.9845 0.4782  2 Br 2.70-2.71
Br3 0.4919 0.2346 0.9757  2 Sr 3.14-3.15, 2 Br 3.29-3.42
Br4 0.5081 0.7654 0.0243  2 Sr 3.14-3.15, 2 Br 3.29-3.42
Br5 0.7602 0.0155 0.5218  2 Br 2.70-2.71
Br6 0.9273 0.5538 0.7402  1 Hg 2.47

=====

Number 1: size of the total moment 0.00 μB per atom, energy -34.48 eV for the cell shown. Number 2: size of the total moment 0.00 μB per atom, energy -7.22 eV for the cell shown. Number 3: size of the total moment 0.00 μB per atom, energy -8.46 eV for the cell shown. Number 4: size of the total moment 0.00 μB per atom, energy -38.73 eV for the cell shown. Number 5: size of the total moment 0.00 μB per atom, energy -11.03 eV for the cell shown. Number 6: size of the total moment 0.00 μB per atom, energy -11.06 eV for the cell shown. Number 7: size of the total moment 0.00 μB per atom, energy -10.30 eV for the cell shown. Number 8: size of the total moment 0.00 μB per atom, energy -18.64 eV for the cell shown.